DFT (PBE with a Hubbard U) results for a relaxed BaMgW2O8 crystal.

## Properties
E_tot: -83.49 eV per cell
Crystal system: tetragonal
Spin magnetization: 0.0 μB/f.u.

abc: 6.449 6.449 6.449
angles: 106.82 106.82 114.92
Positions (direct):
Mg 0.250 0.750 0.500
O 0.920 0.242 0.322
O 0.847 0.653 0.194
O 0.458 0.653 0.806
O 0.347 0.542 0.194
O 0.758 0.080 0.678
O 0.347 0.153 0.806
O 0.402 0.080 0.322
O 0.920 0.598 0.678
W 0.500 0.500 0.000
W 0.750 0.250 0.500
Ba 0.000 0.000 0.000